# Ca2TlIn2 (PBE, relaxed)
data_Ca2TlIn2
_symmetry_space_group_name_H-M 'I 4/m m m'
_symmetry_Int_Tables_number 139
_symmetry_space_group_name_Hall '-I 4 2'
_cell_length_a 4.150
_cell_length_b 4.150
_cell_length_c 18.503
_cell_angle_alpha 90.00
_cell_angle_beta 90.00
_cell_angle_gamma 90.00
loop_
_atom_site_label
_atom_site_type_symbol
_atom_site_fract_x
_atom_site_fract_y
_atom_site_fract_z
Ca1 Ca 0.000 0.000 0.099
Tl1 Tl 0.000 0.000 0.500
In1 In 0.000 0.500 0.250
# - ΔE to the lowest computed polymorph (eV per atom) = 0.172
# - final energy (eV per atom) = -2.555